Here is a geometry-optimized LiHf2Mo structure from OQMD via LeMat-Bulk. Energies are from PBE.

Properties
**Symmetry**: No. 216
**Electronic total energy**: -0.5721 Ry per atom

The structure in POSCAR format:
```
LiHf2Mo
1.0
6.596 0.000 0.000
0.000 6.596 0.000
0.000 0.000 6.596
Li Hf Mo
4 8 4
Direct
0.000 0.000 0.000
0.000 0.500 0.500
0.500 0.000 0.500
0.500 0.500 0.000
0.000 0.000 0.500
0.000 0.500 0.000
0.250 0.250 0.750
0.250 0.750 0.250
0.500 0.000 0.000
0.500 0.500 0.500
0.750 0.250 0.250
0.750 0.750 0.750
0.250 0.250 0.250
0.250 0.750 0.750
0.750 0.250 0.750
0.750 0.750 0.250
```

Here is a geometry-optimized LiHfMo structure from OQMD via LeMat-Bulk. Energies are from PBE.

Properties
**Symmetry**: No. 216
**Electronic total energy**: -0.4879 Ry per atom
**E above lowest polymorph**: 0 meV/atom

The structure in POSCAR format:
```
LiHfMo
1.0
5.932 0.000 0.000
0.000 5.932 0.000
0.000 0.000 5.932
Li Hf Mo
4 4 4
Direct
0.000 0.000 0.000
0.000 0.500 0.500
0.500 0.000 0.500
0.500 0.500 0.000
0.250 0.250 0.750
0.250 0.750 0.250
0.750 0.250 0.250
0.750 0.750 0.750
0.250 0.250 0.250
0.250 0.750 0.750
0.750 0.250 0.750
0.750 0.750 0.250
```